Below is an optimized crystal structure of TaNb2InN, with properties calculated at the PBE level.

For the calculated density, the calculation gives 10.1 Mg/m³. The formation energy (no corrections) comes out at -1.86 eV per formula unit.

The space group is P4/mmm (No. 123) and the conventional cell measures 4.453, 4.453 and 4.110 Å, with angles of 90.00, 90.00 and 90.00 degrees. The asymmetric unit holds Ta at (0.000, 0.000, 0.000), Nb at (0.000, 0.500, 0.500), In at (0.500, 0.500, 0.000) and N at (0.000, 0.000, 0.500).